Record 1
Ca2ZnSb | PBE-GGA | optimized geometry

Cell lengths 6.505, 6.505, 6.505 Å; angles 142.62, 137.70, 57.71 degrees
Positions (direct):
Ca (0.000, 0.000, 0.000)
Ca (0.735, 0.235, 0.500)
Zn (0.456, 0.456, 0.000)
Sb (0.278, 0.778, 0.500)

Uncorrected formation energy   -0.506 eV per atom
Final energy   -11.423 eV per cell
Energy relative to the lowest polymorph listed for this composition   163.7 meV/atom

Record 2
Ca2Zn2Sb | PBE-GGA | optimized geometry

Cell lengths 7.477, 7.477, 4.455 Å; angles 90.00, 90.00, 90.00 degrees
Positions (direct):
Ca (0.178, 0.322, 0.000)
Ca (0.322, 0.822, 0.000)
Ca (0.678, 0.178, 0.000)
Ca (0.822, 0.678, 0.000)
Zn (0.119, 0.619, 0.500)
Zn (0.381, 0.119, 0.500)
Zn (0.619, 0.881, 0.500)
Zn (0.881, 0.381, 0.500)
Sb (0.000, 0.000, 0.500)
Sb (0.500, 0.500, 0.500)

Uncorrected formation energy   -0.439 eV per atom
Final energy   -25.737 eV per cell
Energy relative to the lowest polymorph listed for this composition   0.0 meV/atom

Record 3
CaZnSb2 | PBE-GGA | optimized geometry

Cell lengths 4.759, 4.759, 4.412 Å; angles 90.00, 90.00, 90.00 degrees
Positions (direct):
Ca (0.000, 0.000, 0.000)
Zn (0.500, 0.500, 0.000)
Sb (0.000, 0.500, 0.500)
Sb (0.500, 0.000, 0.500)

Uncorrected formation energy   -0.362 eV per atom
Final energy   -12.968 eV per cell

Record 4
CaZn2Sb | PBE-GGA | optimized geometry

Cell lengths 4.406, 4.406, 6.205 Å; angles 110.87, 110.87, 59.87 degrees
Positions (direct):
Ca (0.000, 0.000, 0.000)
Zn (0.229, 0.229, 0.689)
Zn (0.536, 0.536, 0.609)
Sb (0.789, 0.789, 0.367)

Uncorrected formation energy   -0.323 eV per atom
Final energy   -9.964 eV per cell

Record 5
Ca2ZnSb | PBE-GGA | optimized geometry

Cell lengths 5.350, 5.350, 5.350 Å; angles 60.00, 60.00, 60.00 degrees
Positions (direct):
Ca (0.250, 0.250, 0.250)
Ca (0.750, 0.750, 0.750)
Zn (0.000, 0.000, 0.000)
Sb (0.500, 0.500, 0.500)

Uncorrected formation energy   -0.576 eV per atom
Final energy   -11.702 eV per cell
Energy relative to the lowest polymorph listed for this composition   94.0 meV/atom

Record 6
CaZnSb2 | PBE-GGA | optimized geometry

Cell lengths 4.012, 4.012, 6.357 Å; angles 90.00, 90.00, 90.00 degrees
Positions (direct):
Ca (0.000, 0.000, 0.000)
Zn (0.000, 0.000, 0.500)
Sb (0.500, 0.500, 0.271)
Sb (0.500, 0.500, 0.729)

Uncorrected formation energy   -0.298 eV per atom
Final energy   -12.712 eV per cell

Record 7
CaZn2Sb | PBE-GGA | optimized geometry

Cell lengths 4.367, 4.385, 4.634 Å; angles 90.00, 90.00, 90.00 degrees
Positions (direct):
Ca (0.000, 0.000, 0.000)
Zn (0.000, 0.500, 0.500)
Zn (0.500, 0.000, 0.500)
Sb (0.500, 0.500, 0.000)

Uncorrected formation energy   -0.300 eV per atom
Final energy   -9.871 eV per cell

Record 8
Ca2ZnSb | PBE-GGA | optimized geometry

Cell lengths 4.512, 4.512, 6.228 Å; angles 90.00, 90.00, 90.00 degrees
Positions (direct):
Ca (0.000, 0.000, 0.000)
Ca (0.500, 0.500, 0.496)
Zn (0.500, 0.500, 0.996)
Sb (0.000, 0.000, 0.500)

Uncorrected formation energy   -0.399 eV per atom
Final energy   -10.995 eV per cell
Energy relative to the lowest polymorph listed for this composition   270.9 meV/atom

Record 9
Ca2ZnSb2 | PBE-GGA | optimized geometry

Cell lengths 7.815, 7.815, 4.566 Å; angles 90.00, 90.00, 90.00 degrees
Positions (direct):
Ca (0.173, 0.327, 0.000)
Ca (0.327, 0.827, 0.000)
Ca (0.673, 0.173, 0.000)
Ca (0.827, 0.673, 0.000)
Zn (0.000, 0.000, 0.500)
Zn (0.500, 0.500, 0.500)
Sb (0.133, 0.633, 0.500)
Sb (0.367, 0.133, 0.500)
Sb (0.633, 0.867, 0.500)
Sb (0.867, 0.367, 0.500)

Uncorrected formation energy   -0.564 eV per atom
Final energy   -32.686 eV per cell

Record 10
CaZnSb2 | PBE-GGA | optimized geometry

Cell lengths 3.246, 3.246, 10.084 Å; angles 90.00, 90.00, 90.00 degrees
Positions (direct):
Ca (0.000, 0.000, 0.000)
Zn (0.500, 0.500, 0.787)
Sb (0.000, 0.000, 0.589)
Sb (0.500, 0.500, 0.242)

Uncorrected formation energy   -0.139 eV per atom
Final energy   -12.078 eV per cell

Record 11
CaZn2Sb2 | PBE-GGA | optimized geometry

Cell lengths 4.500, 4.500, 7.456 Å; angles 90.00, 90.00, 120.00 degrees
Positions (direct):
Ca (0.000, 0.000, 0.000)
Zn (0.333, 0.667, 0.634)
Zn (0.667, 0.333, 0.366)
Sb (0.333, 0.667, 0.257)
Sb (0.667, 0.333, 0.743)

Uncorrected formation energy   -0.446 eV per atom
Final energy   -15.026 eV per cell

Record 12
CaZn2Sb | PBE-GGA | optimized geometry

Cell lengths 5.554, 5.554, 5.554 Å; angles 132.78, 132.78, 69.00 degrees
Positions (direct):
Ca (0.000, 0.000, 0.000)
Zn (0.250, 0.750, 0.500)
Zn (0.750, 0.250, 0.500)
Sb (0.500, 0.500, 0.000)

Uncorrected formation energy   -0.259 eV per atom
Final energy   -9.708 eV per cell